The following is a PBE-GGA calculation of Sr12Sb3N5 after structural relaxation, from Alexandria.

```
80
Lattice="-8.508 8.508 8.508 8.508 -8.508 8.508 8.508 8.508 -8.508" Properties=species:S:1:pos:R:3 pbc="T T T"
Sr 2.540 -0.575 0.835
Sr 10.222 5.089 -4.829
Sr 11.047 0.575 0.835
Sr 10.222 -3.419 4.829
Sr 7.932 -0.835 2.540
Sr 13.336 -1.714 3.419
Sr 0.835 2.540 -0.575
Sr 11.926 3.679 -1.714
Sr 5.089 4.829 -1.714
Sr 7.672 2.540 0.575
Sr -0.575 0.835 2.540
Sr 4.829 -1.714 5.089
Sr 7.932 7.672 -2.540
Sr 4.829 1.714 3.419
Sr 5.089 -4.829 10.222
Sr 7.672 -2.540 7.932
Sr 3.419 4.829 1.714
Sr 9.343 5.968 0.575
Sr 4.829 10.222 -3.419
Sr 7.932 0.835 5.968
Sr 2.540 7.932 -0.835
Sr 10.222 3.419 3.679
Sr 1.714 3.419 4.829
Sr 2.540 0.575 7.672
Sr 5.968 7.932 0.835
Sr 6.793 5.089 3.679
Sr -1.714 5.089 4.829
Sr 5.968 0.575 9.343
Sr 0.575 7.672 2.540
Sr 3.679 -1.714 11.926
Sr -0.835 2.540 7.932
Sr 5.089 3.679 6.793
Sr 0.835 11.047 0.575
Sr 3.419 13.336 -1.714
Sr 3.679 6.793 5.089
Sr 0.575 0.835 11.047
Sr 3.679 10.222 3.419
Sr 9.083 7.672 5.968
Sr 0.835 5.968 7.932
Sr 3.419 3.679 10.222
Sr -3.419 4.829 10.222
Sr 7.672 5.968 9.083
Sr -4.829 10.222 5.089
Sr 0.575 9.343 5.968
Sr -1.714 11.926 3.679
Sr -2.540 7.932 7.672
Sr -1.714 3.419 13.336
Sr 5.968 9.083 7.672
Sb 4.254 2.127 0.000
Sb 8.508 4.254 -2.127
Sb 2.127 0.000 4.254
Sb 10.634 0.000 4.254
Sb 0.000 4.254 2.127
Sb 4.254 -2.127 8.508
Sb 4.254 10.634 0.000
Sb 8.508 4.254 6.381
Sb -2.127 8.508 4.254
Sb 6.381 8.508 4.254
Sb 0.000 4.254 10.634
Sb 4.254 6.381 8.508
N 0.000 0.000 0.000
N 4.254 4.254 -4.254
N 4.254 -4.254 4.254
N 8.508 0.000 0.000
N 12.761 2.127 0.000
N 8.508 -4.254 6.381
N 6.381 8.508 -4.254
N 6.381 0.000 4.254
N 4.254 6.381 0.000
N 8.508 4.254 2.127
N -4.254 4.254 4.254
N 0.000 8.508 0.000
N 0.000 0.000 8.508
N 4.254 4.254 4.254
N 0.000 4.254 6.381
N 4.254 2.127 8.508
N 2.127 8.508 4.254
N 2.127 0.000 12.761
N 0.000 12.761 2.127
N -4.254 6.381 8.508
```

## Properties
Energy relative to the elements, uncorrected in eV/atom: -0.7104



The following is a PBE-GGA calculation of La2TlCo after structural relaxation, from Alexandria.

```
8
Lattice="-4.063 4.063 3.355 4.063 -4.063 3.355 4.063 4.063 -3.355" Properties=species:S:1:pos:R:3 pbc="T T T"
La 6.094 1.451 -0.839
La 1.451 2.031 0.839
La -2.031 2.612 2.516
La 2.612 2.031 4.194
Tl 4.063 0.000 1.678
Tl 0.000 0.000 3.355
Co 0.000 0.000 0.000
Co 0.000 4.063 1.678
```

## Properties
Formation enthalpy at 0 K in kJ/mol of formula units: -14



The following is a PBE-GGA calculation of TbPmY6Ho2 after structural relaxation, from Alexandria.

```
20
Lattice="4.568 -7.494 0.000 4.568 7.494 0.000 -1.439 0.000 9.556" Properties=species:S:1:pos:R:3 pbc="T T T"
Tb 3.488 7.129 7.167
Tb 4.208 -7.129 2.389
Pm 4.208 1.391 2.389
Pm 3.488 -1.391 7.167
Y 1.724 4.128 6.520
Y 3.898 4.742 0.536
Y 4.518 4.742 4.241
Y 2.386 1.587 8.422
Y 5.252 4.128 7.813
Y 4.590 1.587 5.911
Y 3.106 -1.587 3.645
Y 2.444 -4.128 1.743
Y 5.310 -1.587 1.133
Y 3.179 -4.742 5.314
Y 3.798 -4.742 9.019
Y 5.972 -4.128 3.035
Ho 1.440 0.757 5.217
Ho 2.160 -0.757 0.440
Ho 5.536 0.757 9.116
Ho 6.256 -0.757 4.338
```

## Properties
Formation enthalpy at 0 K in kJ/mol of formula units: 117



The following is a PBE-GGA calculation of Be3PBr after structural relaxation, from Alexandria.

```
5
Lattice="4.280 0.000 0.000 0.000 4.280 0.000 0.000 0.000 4.280" Properties=species:S:1:pos:R:3 pbc="T T T"
Be 0.000 0.000 2.140
Be 0.000 2.140 0.000
Be 2.140 0.000 0.000
P 0.000 0.000 0.000
Br 2.140 2.140 2.140
```

## Properties
Energy relative to the elements, uncorrected in eV/atom: 0.5931
Polymorph energy (0 for the lowest one) in eV per formula unit: 0.00



The following is a PBE-GGA calculation of CaHfSn2 after structural relaxation, from Alexandria.

```
4
Lattice="1.690 0.975 11.243 -1.690 0.975 11.243 0.000 -1.951 11.243" Properties=species:S:1:pos:R:3 pbc="T T T"
Ca 0.000 0.000 0.000
Hf 0.000 0.000 16.865
Sn 0.000 0.000 3.188
Sn 0.000 0.000 30.542
```

## Properties
Formation enthalpy at 0 K in kJ/mol of formula units: 2



The following is a PBE-GGA calculation of Te2RuWI after structural relaxation, from Alexandria.

```
5
Lattice="5.233 0.000 0.000 0.000 5.233 0.000 0.000 0.000 5.635" Properties=species:S:1:pos:R:3 pbc="T T T"
Te 0.000 2.617 0.000
Te 2.617 0.000 0.000
Ru 0.000 0.000 2.817
W 2.617 2.617 0.000
I 2.617 2.617 2.817
```

## Properties
Energy relative to the elements, uncorrected in eV/atom: 1.4248
Polymorph energy (0 for the lowest one) in eV per formula unit: 0.00



The following is a PBE-GGA calculation of Rb12Na3Se5 after structural relaxation, from Alexandria.

```
80
Lattice="-10.949 10.949 10.949 10.949 -10.949 10.949 10.949 10.949 -10.949" Properties=species:S:1:pos:R:3 pbc="T T T"
Rb 3.094 -0.852 1.088
Rb 13.329 6.562 -6.326
Rb 14.042 0.852 1.088
Rb 13.329 -4.386 6.326
Rb 10.096 -1.088 3.094
Rb 17.275 -2.380 4.386
Rb 1.088 3.094 -0.852
Rb 15.335 4.622 -2.380
Rb 6.562 6.326 -2.380
Rb 9.861 3.094 0.852
Rb -0.852 1.088 3.094
Rb 6.326 -2.380 6.562
Rb 10.096 9.861 -3.094
Rb 6.326 2.380 4.386
Rb 6.562 -6.326 13.329
Rb 9.861 -3.094 10.096
Rb 4.386 6.326 2.380
Rb 12.037 7.855 0.852
Rb 6.326 13.329 -4.386
Rb 10.096 1.088 7.855
Rb 3.094 10.096 -1.088
Rb 13.329 4.386 4.622
Rb 2.380 4.386 6.326
Rb 3.094 0.852 9.861
Rb 7.855 10.096 1.088
Rb 8.568 6.562 4.622
Rb -2.380 6.562 6.326
Rb 7.855 0.852 12.037
Rb 0.852 9.861 3.094
Rb 4.622 -2.380 15.335
Rb -1.088 3.094 10.096
Rb 6.562 4.622 8.568
Rb 1.088 14.042 0.852
Rb 4.386 17.275 -2.380
Rb 4.622 8.568 6.562
Rb 0.852 1.088 14.042
Rb 4.622 13.329 4.386
Rb 11.801 9.861 7.855
Rb 1.088 7.855 10.096
Rb 4.386 4.622 13.329
Rb -4.386 6.326 13.329
Rb 9.861 7.855 11.801
Rb -6.326 13.329 6.562
Rb 0.852 12.037 7.855
Rb -2.380 15.335 4.622
Rb -3.094 10.096 9.861
Rb -2.380 4.386 17.275
Rb 7.855 11.801 9.861
Na 5.474 2.737 0.000
Na 10.949 5.474 -2.737
Na 2.737 0.000 5.474
Na 13.686 0.000 5.474
Na 0.000 5.474 2.737
Na 5.474 -2.737 10.949
Na 5.474 13.686 0.000
Na 10.949 5.474 8.211
Na -2.737 10.949 5.474
Na 8.211 10.949 5.474
Na 0.000 5.474 13.686
Na 5.474 8.211 10.949
Se 0.000 0.000 0.000
Se 5.474 5.474 -5.474
Se 5.474 -5.474 5.474
Se 10.949 0.000 0.000
Se 16.423 2.737 0.000
Se 10.949 -5.474 8.211
Se 8.211 10.949 -5.474
Se 8.211 0.000 5.474
Se 5.474 8.211 0.000
Se 10.949 5.474 2.737
Se -5.474 5.474 5.474
Se 0.000 10.949 0.000
Se 0.000 0.000 10.949
Se 5.474 5.474 5.474
Se 0.000 5.474 8.211
Se 5.474 2.737 10.949
Se 2.737 10.949 5.474
Se 2.737 0.000 16.423
Se 0.000 16.423 2.737
Se -5.474 8.211 10.949
```

## Properties
Energy relative to the elements, uncorrected in eV/atom: -0.5775



The following is a PBE-GGA calculation of Ce2UN3 after structural relaxation, from Alexandria.

```
6
Lattice="-1.753 2.493 5.261 1.753 -2.493 5.261 1.753 2.493 -5.261" Properties=species:S:1:pos:R:3 pbc="T T T"
Ce 0.000 0.000 1.773
Ce 0.000 0.000 8.750
U 0.000 0.000 5.261
N 1.753 0.000 0.000
N 1.753 0.000 3.734
N 0.000 2.493 1.527
```

## Properties
Energy relative to the elements, uncorrected in eV/atom: -1.4583
Polymorph energy (0 for the lowest one) in eV per formula unit: 0.00



The following is a PBE-GGA calculation of SmClO after structural relaxation, from Alexandria.

```
3
Lattice="3.792 0.000 0.000 -1.896 3.284 0.000 0.000 0.000 5.309" Properties=species:S:1:pos:R:3 pbc="T T T"
Sm 0.000 0.000 0.000
Cl 0.000 2.190 3.395
O 1.896 1.095 0.524
```

## Properties
Energy relative to the elements, uncorrected in eV/atom: -2.8645



The following is a PBE-GGA calculation of Nd3Er after structural relaxation, from Alexandria.

```
4
Lattice="3.680 0.000 0.000 0.000 5.878 0.000 0.000 0.000 6.351" Properties=species:S:1:pos:R:3 pbc="T T T"
Nd 0.000 0.000 0.000
Nd 0.000 2.939 2.120
Nd 1.840 2.939 5.297
Er 1.840 0.000 3.183
```

## Properties
Formation enthalpy at 0 K in kJ/mol of formula units: 13
Polymorph energy (0 for the lowest one) in eV per formula unit: 0.07



The following is a PBE-GGA calculation of BaTaRePt2 after structural relaxation, from Alexandria.

```
5
Lattice="4.862 0.000 0.000 0.000 4.862 0.000 0.000 0.000 5.392" Properties=species:S:1:pos:R:3 pbc="T T T"
Ba 0.000 0.000 0.000
Ta 2.431 2.431 0.000
Re 0.000 0.000 2.696
Pt 0.000 2.431 2.696
Pt 2.431 0.000 2.696
```

## Properties
Formation enthalpy at 0 K in kJ/mol of formula units: 807



The following is a PBE-GGA calculation of SrBi8Pd6 after structural relaxation, from Alexandria.

```
15
Lattice="4.282 2.472 6.027 -4.282 2.472 6.027 0.000 -4.945 6.027" Properties=species:S:1:pos:R:3 pbc="T T T"
Sr 0.000 0.000 0.000
Bi -2.873 -0.001 8.023
Bi -1.436 -2.488 10.056
Bi 0.000 0.000 6.044
Bi 1.437 -2.488 8.023
Bi -1.437 2.488 10.056
Bi 0.000 0.000 12.036
Bi 1.436 2.488 8.023
Bi 2.873 0.001 10.056
Pd -1.486 -2.398 7.156
Pd -2.820 0.088 10.923
Pd -1.334 2.486 7.156
Pd 1.334 -2.486 10.923
Pd 2.820 -0.088 7.156
Pd 1.486 2.398 10.923
```

## Properties
Formation enthalpy at 0 K in kJ/mol of formula units: -406



The following is a PBE-GGA calculation of BeAu2N after structural relaxation, from Alexandria.

```
4
Lattice="0.000 2.958 2.958 2.958 0.000 2.958 2.958 2.958 0.000" Properties=species:S:1:pos:R:3 pbc="T T T"
Be 0.000 0.000 0.000
Au 1.479 1.479 1.479
Au 4.437 4.437 4.437
N 2.958 2.958 2.958
```

## Properties
Energy relative to the elements, uncorrected in eV/atom: 0.9977
Polymorph energy (0 for the lowest one) in eV per formula unit: 0.39



The following is a PBE-GGA calculation of Pt3W4 after structural relaxation, from Alexandria.

```
7
Lattice="-1.671 1.671 10.053 1.671 -1.671 10.053 1.671 1.671 -10.053" Properties=species:S:1:pos:R:3 pbc="T T T"
Pt 0.000 0.000 0.000
Pt 0.000 0.000 5.770
Pt 0.000 0.000 14.336
W 0.000 0.000 2.895
W 0.000 0.000 8.591
W 0.000 0.000 11.516
W 0.000 0.000 17.212
```

## Properties
Formation enthalpy at 0 K in kJ/mol of formula units: 25
Polymorph energy (0 for the lowest one) in eV per formula unit: 0.00



The following is a PBE-GGA calculation of TlOsBr2 after structural relaxation, from Alexandria.

```
4
Lattice="1.609 0.929 10.595 -1.609 0.929 10.595 0.000 -1.858 10.595" Properties=species:S:1:pos:R:3 pbc="T T T"
Tl 0.000 0.000 0.000
Os 0.000 0.000 15.893
Br 0.000 0.000 13.530
Br 0.000 0.000 18.256
```

## Properties
Energy relative to the elements, uncorrected in eV/atom: 0.5499
Polymorph energy (0 for the lowest one) in eV per formula unit: 1.09



The following is a PBE-GGA calculation of LaIrCl2 after structural relaxation, from Alexandria.

```
4
Lattice="3.997 0.000 0.000 0.000 3.997 0.000 0.000 0.000 6.193" Properties=species:S:1:pos:R:3 pbc="T T T"
La 0.000 0.000 0.000
Ir 1.998 1.998 5.162
Cl 0.000 0.000 3.371
Cl 1.998 1.998 1.260
```

## Properties
Energy relative to the elements, uncorrected in eV/atom: -0.8374
Polymorph energy (0 for the lowest one) in eV per formula unit: 0.60



The following is a PBE-GGA calculation of Hf2CuW after structural relaxation, from Alexandria.

```
4
Lattice="3.347 0.000 0.000 0.000 3.347 0.000 0.000 0.000 6.413" Properties=species:S:1:pos:R:3 pbc="T T T"
Hf 0.000 0.000 1.576
Hf 0.000 0.000 4.837
Cu 1.673 1.673 3.206
W 1.673 1.673 0.000
```

## Properties
Formation enthalpy at 0 K in kJ/mol of formula units: -21



The following is a PBE-GGA calculation of ZnSiTeN2 after structural relaxation, from Alexandria.

```
5
Lattice="3.972 0.000 0.000 0.000 3.972 0.000 0.000 0.000 5.961" Properties=species:S:1:pos:R:3 pbc="T T T"
Zn 0.000 0.000 0.000
Si 1.986 1.986 2.981
Te 0.000 0.000 2.981
N 0.000 1.986 0.000
N 1.986 0.000 0.000
```

## Properties
Energy relative to the elements, uncorrected in eV/atom: 1.5911
Polymorph energy (0 for the lowest one) in eV per formula unit: 4.94



The following is a PBE-GGA calculation of La2Cl4F after structural relaxation, from Alexandria.

```
7
Lattice="2.489 1.437 8.575 -2.489 1.437 8.575 0.000 -2.874 8.575" Properties=species:S:1:pos:R:3 pbc="T T T"
La 0.000 0.000 2.305
La 0.000 0.000 23.421
Cl 0.000 0.000 5.349
Cl 0.000 0.000 10.015
Cl 0.000 0.000 15.711
Cl 0.000 0.000 20.378
F 0.000 0.000 0.000
```

## Properties
Energy relative to the elements, uncorrected in eV/atom: -2.5321



Number 1: DOS at the Fermi energy 2.32 states/eV/f.u., spin magnetization 0.0 μB/f.u.. Number 2: DOS at the Fermi energy 2.17 states/eV/f.u., spin magnetization 0.0 μB/f.u.. Number 3: DOS at the Fermi energy 15.73 states/eV/f.u., spin magnetization 0.0 μB/f.u.. Number 4: DOS at the Fermi energy 2.83 states/eV/f.u., spin magnetization 0.0 μB/f.u.. Number 5: DOS at the Fermi energy 3.44 states/eV/f.u., spin magnetization 0.2 μB/f.u.. Number 6: DOS at the Fermi energy 7.95 states/eV/f.u., spin magnetization 2.0 μB/f.u.. Number 7: DOS at the Fermi energy 11.05 states/eV/f.u., spin magnetization 0.7 μB/f.u.. Number 8: DOS at the Fermi energy 6.99 states/eV/f.u., spin magnetization 0.0 μB/f.u.. Number 9: DOS at the Fermi energy 0.00 states/eV/f.u., spin magnetization 0.0 μB/f.u.. Number 10: DOS at the Fermi energy 7.29 states/eV/f.u., spin magnetization 0.0 μB/f.u.. Number 11: DOS at the Fermi energy 7.37 states/eV/f.u., spin magnetization 0.0 μB/f.u.. Number 12: DOS at the Fermi energy 9.61 states/eV/f.u., spin magnetization 0.0 μB/f.u.. Number 13: DOS at the Fermi energy 3.92 states/eV/f.u., spin magnetization 0.7 μB/f.u.. Number 14: DOS at the Fermi energy 7.36 states/eV/f.u., spin magnetization 0.0 μB/f.u.. Number 15: DOS at the Fermi energy 4.66 states/eV/f.u., spin magnetization 0.0 μB/f.u.. Number 16: DOS at the Fermi energy 0.10 states/eV/f.u., spin magnetization 0.0 μB/f.u.. Number 17: DOS at the Fermi energy 3.47 states/eV/f.u., spin magnetization 0.0 μB/f.u.. Number 18: DOS at the Fermi energy 2.28 states/eV/f.u., spin magnetization 3.0 μB/f.u.. Number 19: DOS at the Fermi energy 4.62 states/eV/f.u., spin magnetization 1.1 μB/f.u..